# PBE-GGA Sm6In2Pd, relaxed
data_Sm6In2Pd
_chemical_formula_sum 'Sm6 In2 Pd1'
_cell_length_a 8.9208
_cell_length_b 8.9208
_cell_length_c 3.8298
_cell_angle_alpha 90.00
_cell_angle_beta 90.00
_cell_angle_gamma 120.00
_symmetry_space_group_name_H-M 'P -6 2 m'
_symmetry_Int_Tables_number 189
_symmetry_space_group_name_Hall 'P -6 -2'
loop_
_atom_site_label
_atom_site_type_symbol
_atom_site_fract_x
_atom_site_fract_y
_atom_site_fract_z
Sm1 Sm 0.0000 0.2502 0.0000
Sm2 Sm 0.0000 0.6024 0.5000
In1 In 0.3333 0.6667 0.0000
Pd1 Pd 0.0000 0.0000 0.5000
# Volume ... 263.95 Å³/cell
# Density of states at the Fermi level ... 14.33 states/eV per cell
# ΔE to the lowest computed polymorph ... 0.000 eV per formula unit
# Crystal system ... hexagonal

=====

# PBE-GGA P2RhBr, relaxed
data_P2RhBr
_chemical_formula_sum 'P4 Rh2 Br2'
_cell_length_a 5.125
_cell_length_b 8.153
_cell_length_c 3.202
_cell_angle_alpha 90.00
_cell_angle_beta 90.00
_cell_angle_gamma 90.00
_symmetry_space_group_name_H-M 'C m m m'
_symmetry_Int_Tables_number 65
_symmetry_space_group_name_Hall '-C 2 2'
loop_
_atom_site_label
_atom_site_type_symbol
_atom_site_fract_x
_atom_site_fract_y
_atom_site_fract_z
P1 P 0.250 0.250 0.000
Rh1 Rh 0.000 0.000 0.500
Br1 Br 0.000 0.500 0.500
# ΔE_f (raw) ... 0.73 eV per atom
# Volume ... 133.80 Å³/cell
# Density of states at the Fermi level ... 4.96 states/eV per cell
# ΔE to the lowest computed polymorph ... 3.732 eV per formula unit
# Crystal system ... orthorhombic

=====

# PBE-GGA Pa4ReGe8, relaxed
data_Pa4ReGe8
_chemical_formula_sum 'Pa4 Re1 Ge8'
_cell_length_a 4.091
_cell_length_b 4.095
_cell_length_c 16.193
_cell_angle_alpha 90.00
_cell_angle_beta 90.00
_cell_angle_gamma 90.00
_symmetry_space_group_name_H-M 'P m m 2'
_symmetry_Int_Tables_number 25
loop_
_symmetry_equiv_pos_as_xyz
'x,y,z'
'-x,-y,z'
'-x,y,z'
'x,-y,z'
loop_
_atom_site_label
_atom_site_type_symbol
_atom_site_fract_x
_atom_site_fract_y
_atom_site_fract_z
Pa1 Pa 0.000 0.000 0.000
Pa2 Pa 0.000 0.500 0.203
Pa3 Pa 0.500 0.000 0.480
Pa4 Pa 0.500 0.500 0.704
Re1 Re 0.000 0.000 0.775
Ge1 Ge 0.000 0.000 0.341
Ge2 Ge 0.000 0.000 0.625
Ge3 Ge 0.000 0.500 0.528
Ge4 Ge 0.000 0.500 0.869
Ge5 Ge 0.500 0.000 0.160
Ge6 Ge 0.500 0.000 0.869
Ge7 Ge 0.500 0.500 0.048
Ge8 Ge 0.500 0.500 0.343
# E_tot ... -91.93 eV/cell
# Volume ... 271.26 Å³/cell
# Density of states at the Fermi level ... 13.22 states/eV per cell
# Crystal system ... orthorhombic